[1]
VASP calculation (PBE) on a relaxed Zn2MoBr crystal.

**Electronic total energy**: -41.54 eV per cell
**ΔE_f (raw)**: 29 kJ/mol of atoms
**Magnetic moment**: 0.00 μB per atom

abc: 3.1664 3.1664 24.8875
angles: 90.00 90.00 120.00
With the nearest neighbours (Å) after each atom.
Space group R-3m (No. 166, hexagonal axes)
Asymmetric unit:
Zn (0.0000, 0.0000, 0.2474) x6  3 Mo 2.72, 3 Br 2.81
Mo (0.0000, 0.0000, 0.5000) x3  6 Zn 2.72
Br (0.0000, 0.0000, 0.0000) x3  6 Zn 2.81

***

[2]
VASP calculation (PBE) on a relaxed CsPrPbCl6 crystal.

**Electronic total energy**: -146.94 eV per cell
**ΔE_f (raw)**: -175 kJ/mol of atoms
**Magnetic moment**: 0.00 μB per atom

abc: 10.0752 10.5132 14.7822
angles: 90.00 90.00 90.00
With the nearest neighbours (Å) after each atom.
Space group Imma (No. 74)
Asymmetric unit:
Cs (0.0000, 0.2500, 0.0732) x4  1 Cl 3.42
Pr (0.0000, 0.0000, 0.5000) x4  6 Cl 2.76-2.78
Pb (0.2500, 0.2500, 0.7500) x4  6 Cl 2.86-2.93
Cl (0.0000, 0.2500, 0.4380) x4  2 Pr 2.78
Cl (0.0000, 0.2500, 0.8419) x4  2 Pb 2.86
Cl (0.2020, 0.0416, 0.6224) x16  1 Pr 2.76, 1 Pb 2.93

***

[3]
VASP calculation (PBE) on a relaxed TaTlBr2 crystal.

**Electronic total energy**: -52.17 eV per cell
**ΔE_f (raw)**: 4 kJ/mol of atoms
**Magnetic moment**: 0.00 μB per atom

abc: 3.4184 3.4184 32.1269
angles: 90.00 90.00 120.00
With the nearest neighbours (Å) after each atom.
Space group R-3m (No. 166, hexagonal axes)
Asymmetric unit:
Ta (0.0000, 0.0000, 0.0000) x3  2 Br 2.46
Tl (0.0000, 0.0000, 0.5000) x3  6 Tl 3.42, 6 Br 3.51
Br (0.0000, 0.0000, 0.0764) x6  1 Ta 2.46

***

no.,DOS at the Fermi energy (states/eV/atom)
1,0.24
2,0.00
3,0.83